Record 1
A relaxed structure of PmNd4Ho3, computed with PBE.

Unit cell a=10.2459 b=7.2315 c=7.2267 alpha=90.00 beta=90.00 gamma=90.00
Space group Pmna (No. 53)
One atom of each set of equivalent atoms:
Pm 0.0000 0.0000 0.0000
Nd 0.0000 0.0000 0.5000
Nd 0.0000 0.5000 0.0000
Nd 0.2500 0.2514 0.2500
Ho 0.0000 0.5000 0.5000
Ho 0.2500 0.2520 0.7500

For the energy of formation from the pure elements, the calculation gives 0.1 eV per formula unit. The value obtained for the excess energy over the best structure of this formula in the dataset is 0 meV/atom.

Record 2
A relaxed structure of Nb2CdTcAs, computed with PBE.

Unit cell a=5.0488 b=5.0488 c=4.6271 alpha=90.00 beta=90.00 gamma=90.00
Space group P4/mmm (No. 123)
One atom of each set of equivalent atoms:
Nb 0.0000 0.5000 0.0000
Cd 0.0000 0.0000 0.0000
Tc 0.5000 0.5000 0.5000
As 0.0000 0.0000 0.5000

For the energy of formation from the pure elements, the calculation gives 11.1 eV per formula unit.

Record 3
A relaxed structure of La3AsPb, computed with PBE.

Unit cell a=8.8604 b=4.5927 c=16.0792 alpha=90.00 beta=90.00 gamma=90.00
Space group Pnma (No. 62)
One atom of each set of equivalent atoms:
La 0.0203 0.2500 0.1082
La 0.1457 0.2500 0.5220
La 0.1770 0.7500 0.2811
As 0.1838 0.2500 0.9446
Pb 0.0986 0.7500 0.6796

For the energy of formation from the pure elements, the calculation gives -4.5 eV per formula unit. The value obtained for the excess energy over the best structure of this formula in the dataset is 0 meV/atom.

Record 4
A relaxed structure of KAc2Gd, computed with PBE.

Unit cell a=3.8828 b=3.8828 c=41.9098 alpha=90.00 beta=90.00 gamma=120.00
Space group R-3m (No. 166, hexagonal axes)
One atom of each set of equivalent atoms:
K 0.0000 0.0000 0.0000
Ac 0.0000 0.0000 0.0957
Gd 0.0000 0.0000 0.5000

For the energy of formation from the pure elements, the calculation gives 0.6 eV per formula unit.

Record 5
A relaxed structure of TaCrCu2, computed with PBE.

Unit cell a=3.3782 b=4.0570 c=7.9769 alpha=90.00 beta=90.00 gamma=90.00
Space group Cmm2 (No. 35)
One atom of each set of equivalent atoms:
Ta 0.0000 0.0000 0.0000
Cr 0.0000 0.5000 0.7299
Cu 0.0000 0.0000 0.4983
Cu 0.0000 0.5000 0.2670

For the energy of formation from the pure elements, the calculation gives 0.9 eV per formula unit. The value obtained for the excess energy over the best structure of this formula in the dataset is 30 meV/atom.

Record 6
A relaxed structure of NdTmPdPt, computed with PBE.

Unit cell a=7.0788 b=7.0788 c=7.0788 alpha=90.00 beta=90.00 gamma=90.00
Space group F-43m (No. 216)
One atom of each set of equivalent atoms:
Nd 0.0000 0.0000 0.0000
Tm 0.0000 0.0000 0.5000
Pd 0.2500 0.2500 0.7500
Pt 0.2500 0.2500 0.2500

For the energy of formation from the pure elements, the calculation gives -4.0 eV per formula unit. The value obtained for the excess energy over the best structure of this formula in the dataset is 61 meV/atom.

Record 7
A relaxed structure of Cs2LiPmI6, computed with PBE.

Unit cell a=8.6046 b=8.6046 c=43.0750 alpha=90.00 beta=90.00 gamma=120.00
Space group R-3m (No. 166, hexagonal axes)
One atom of each set of equivalent atoms:
Cs 0.0000 0.0000 0.1232
Cs 0.0000 0.0000 0.2914
Li 0.0000 0.0000 0.0000
Li 0.0000 0.0000 0.5000
Pm 0.0000 0.0000 0.4151
I 0.0032 0.5016 0.1252
I 0.0066 0.5033 0.7072

Record 8
A relaxed structure of Dy2PuMnN4, computed with PBE.

Unit cell a=3.3499 b=11.3467 c=11.5713 alpha=90.00 beta=90.00 gamma=90.00
Space group Cmcm (No. 63)
One atom of each set of equivalent atoms:
Dy 0.0000 0.1317 0.0448
Pu 0.0000 0.3942 0.2500
Mn 0.0000 0.3406 0.7500
N 0.0000 0.0768 0.2500
N 0.0000 0.2310 0.6322
N 0.0000 0.5000 0.0000

Record 9
A relaxed structure of KCd3Fe, computed with PBE.

Unit cell a=5.1924 b=5.1924 c=5.1924 alpha=90.00 beta=90.00 gamma=90.00
Space group Pm-3m (No. 221)
One atom of each set of equivalent atoms:
K 0.0000 0.0000 0.0000
Cd 0.0000 0.5000 0.5000
Fe 0.5000 0.5000 0.5000

For the energy of formation from the pure elements, the calculation gives 1.3 eV per formula unit. The value obtained for the excess energy over the best structure of this formula in the dataset is 0 meV/atom.

Record 10
A relaxed structure of MgPdPt14, computed with PBE.

Unit cell a=5.6324 b=5.6324 c=7.8627 alpha=90.00 beta=90.00 gamma=90.00
Space group P4/mmm (No. 123)
One atom of each set of equivalent atoms:
Mg 0.0000 0.0000 0.0000
Pd 0.5000 0.5000 0.0000
Pt 0.0000 0.0000 0.5000
Pt 0.0000 0.5000 0.0000
Pt 0.0000 0.5000 0.5000
Pt 0.2492 0.2492 0.2476
Pt 0.5000 0.5000 0.5000

For the energy of formation from the pure elements, the calculation gives -2.5 eV per formula unit.

Record 11
A relaxed structure of Hg3Pd2Se, computed with PBE.

Unit cell a=6.6937 b=6.6937 c=6.6354 alpha=90.00 beta=90.00 gamma=120.00
Space group P-3m1 (No. 164)
One atom of each set of equivalent atoms:
Hg 0.1662 0.3323 0.3204
Pd 0.0000 0.0000 0.0000
Pd 0.0000 0.5000 0.0000
Se 0.3333 0.6667 0.7689

Record 12
A relaxed structure of Si3Cl, computed with PBE.

Unit cell a=3.0874 b=3.0874 c=7.2009 alpha=90.00 beta=90.00 gamma=90.00
Space group P4/mmm (No. 123)
One atom of each set of equivalent atoms:
Si 0.0000 0.0000 0.0000
Si 0.5000 0.5000 0.2098
Cl 0.0000 0.0000 0.5000

The value obtained for the excess energy over the best structure of this formula in the dataset is 296 meV/atom.

Per-record DFT total energy, eV per atom: -4.678, -4.989, -5.533, -5.687, -7.200, -6.108, -3.213, -9.357, -2.201, -5.869, -2.560, -4.082